# 1
Entry from Alexandria via LeMat-Bulk: crystalline CdMoSe at its relaxed geometry (PBE).

Cell: 3.1840 3.1840 6.9295 Å, 90.00 90.00 120.00°
Space group P3m1 (No. 156)
One atom of each set of equivalent atoms:
Cd 0.0000 0.0000 0.0000 (multiplicity 1)
Mo 0.3333 0.6667 0.3339 (multiplicity 1)
Se 0.6667 0.3333 0.5749 (multiplicity 1)

Properties
Total moment ... 0.00 μB per formula unit
Uncorrected formation energy ... -0.082 eV/atom
Density ... 7.8 g cm⁻³



# 2
Entry from Alexandria via LeMat-Bulk: crystalline CoNiRh2 at its relaxed geometry (PBE).

Cell: 2.652 4.034 5.006 Å, 90.00 105.27 90.00°
Space group Pm (No. 6)
One atom of each set of equivalent atoms:
Co 0.000 0.000 0.000 (multiplicity 1)
Ni 0.134 0.500 0.268 (multiplicity 1)
Rh 0.397 0.500 0.794 (multiplicity 1)
Rh 0.736 0.000 0.471 (multiplicity 1)

Properties
DFT formation energy ... 6.7 kJ/mol of atoms
Total moment ... 4.38 μB per formula unit
Density ... 10.4 g cm⁻³



# 3
Entry from Alexandria via LeMat-Bulk: crystalline BeTlCl3 at its relaxed geometry (PBE).

Cell: 15.936 9.202 13.767 Å, 90.00 112.72 90.00°
Space group C2/c (No. 15)
One atom of each set of equivalent atoms:
Be 0.000 0.178 0.250 (multiplicity 4)
Be 0.119 0.465 0.750 (multiplicity 8)
Tl 0.081 0.255 0.000 (multiplicity 8)
Tl 0.250 0.250 0.500 (multiplicity 4)
Cl 0.000 0.367 0.750 (multiplicity 4)
Cl 0.045 0.070 0.385 (multiplicity 8)
Cl 0.108 0.308 0.250 (multiplicity 8)
Cl 0.128 0.411 0.614 (multiplicity 8)
Cl 0.219 0.410 0.884 (multiplicity 8)

Properties
Total moment ... 0.00 μB per formula unit
Uncorrected formation energy ... -1.284 eV/atom
Density ... 3.4 g cm⁻³